Mg2Cd2Pb: optimized geometry, PBEsol.

Cell: 8.2812 8.2812 3.3659 Å, 90.00 90.00 90.00°
Space group P4/mbm (No. 127)
Inequivalent atoms, fractional coordinates:
1 Mg 0.1747 0.3253 0.0000 (multiplicity 4)
2 Cd 0.1228 0.6228 0.5000 (multiplicity 4)
3 Pb 0.0000 0.0000 0.5000 (multiplicity 2)

## Properties
distance to the lowest polymorph of the same formula: 0.000 eV per formula unit
energy of formation from the pure elements: -52.3 meV per atom
volume: 231 Å³/cell

CaRe2As: optimized geometry, PBEsol.

Cell: 3.1717 4.8764 8.7839 Å, 90.00 90.00 90.00°
Space group Cmmm (No. 65)
Inequivalent atoms, fractional coordinates:
1 Ca 0.0000 0.0000 0.0000 (multiplicity 2)
2 Re 0.0000 0.5000 0.2854 (multiplicity 4)
3 As 0.0000 0.0000 0.5000 (multiplicity 2)

## Properties
energy of formation from the pure elements: 733.2 meV per atom
volume: 136 Å³/cell

Zr4Ta: optimized geometry, PBEsol.

Cell: 6.9338 6.9338 4.4046 Å, 90.00 90.00 90.00°
Space group I4/m (No. 87)
Inequivalent atoms, fractional coordinates:
1 Zr 0.1011 0.2946 0.0000 (multiplicity 8)
2 Ta 0.0000 0.0000 0.5000 (multiplicity 2)

## Properties
energy of formation from the pure elements: 138.0 meV per atom
volume: 212 Å³/cell

ScAg2Br: optimized geometry, PBEsol.

Cell: 3.2678 5.4605 4.4452 Å, 90.00 91.19 90.00°
Space group P2/m (No. 10)
Inequivalent atoms, fractional coordinates:
1 Sc 0.0000 0.0000 0.0000 (multiplicity 1)
2 Ag 0.2505 0.5000 0.7555 (multiplicity 2)
3 Br 0.5000 0.0000 0.5000 (multiplicity 1)

## Properties
distance to the lowest polymorph of the same formula: 0.000 eV per formula unit
volume: 79 Å³/cell

| no. | calculated total energy (eV for the cell shown) |
| --- | --- |
| 1 | -20.2 |
| 2 | -61.9 |
| 3 | -96.4 |
| 4 | -15.9 |